No. 1
Below is a geometry-optimized CoSN2 structure, with properties calculated at the GGA-PBE level.

Computed properties:
Offset from the most stable computed form, meV per atom: 574.5
ΔE_f (raw), kJ/mol of formula units: 207
Electronic total energy, eV/atom: -6.4339
Space-group type: Cm (8)

Lattice parameters (Å, degrees): 2.8726 2.8726 6.8746 108.09 108.09 59.76
Last column: nearest neighbours and their distance in Å.
Sites, in units of the cell vectors:
Co  0.0000  0.0000  0.0000  3 N 1.84-1.85
S  0.4496  0.4496  0.5622  1 N 1.54
N  0.3954  0.3954  0.1254  3 Co 1.84-1.85
N  0.5694  0.5694  0.8028  1 S 1.54


No. 2
Below is a geometry-optimized PmDyMgRh structure, with properties calculated at the GGA-PBE level.

Computed properties:
Formation energy, meV per atom: -363
Electronic total energy, eV/atom: -4.9378
Space-group type: F-43m (216)

Lattice parameters (Å, degrees): 5.1192 5.1192 5.1192 60.00 60.00 60.00
Last column: nearest neighbours and their distance in Å.
Sites, in units of the cell vectors:
Pm  0.0000  0.0000  0.0000  4 Mg 3.13, 4 Rh 3.13
Dy  0.5000  0.5000  0.5000  4 Mg 3.13, 4 Rh 3.13
Mg  0.7500  0.7500  0.7500  4 Dy 3.13, 4 Pm 3.13
Rh  0.2500  0.2500  0.2500  4 Dy 3.13, 4 Pm 3.13


no.,DOS at the Fermi energy (states/eV/atom)
1,0.48
2,0.44